# Ba2LaTaO6

Crystalline Ba2LaTaO6 at its relaxed geometry (GGA-PBEsol, Alexandria).

Unit cell a=6.1342 b=6.1342 c=14.7197 alpha=90.00 beta=90.00 gamma=120.00
Space group R-3 (No. 148, hexagonal axes)
One atom of each set of equivalent atoms:
Ba: 0.0000 0.0000 0.2474 [6 per cell]
La: 0.0000 0.0000 0.5000 [3 per cell]
Ta: 0.0000 0.0000 0.0000 [3 per cell]
O: 0.0326 0.5761 0.7449 [18 per cell]

Calculated values
* total energy: -0.6235 Ry per atom
* ΔE_f (raw): -3114 meV per atom


# Ba2LaTaO6

Crystalline Ba2LaTaO6 at its relaxed geometry (GGA-PBEsol, Alexandria).

Unit cell a=6.1370 b=6.0676 c=10.4873 alpha=90.00 beta=125.09 gamma=90.00
Space group P2_1/c (No. 14)
One atom of each set of equivalent atoms:
Ba: 0.2410 0.0108 0.2480 [4 per cell]
La: 0.5000 0.0000 0.0000 [2 per cell]
Ta: 0.0000 0.0000 0.5000 [2 per cell]
O: 0.1745 0.2444 0.4608 [4 per cell]
O: 0.1998 0.7193 0.9613 [4 per cell]
O: 0.2977 0.0067 0.7274 [4 per cell]

Calculated values
* total energy: -0.6235 Ry per atom
* ΔE_f (raw): -3115 meV per atom


# BaLa2Ti3O10

Crystalline BaLa2Ti3O10 at its relaxed geometry (GGA-PBEsol, Alexandria).

Unit cell a=3.9048 b=28.1582 c=7.6477 alpha=90.00 beta=90.00 gamma=90.00
Space group Cmcm (No. 63)
One atom of each set of equivalent atoms:
Ba: 0.0000 0.2424 0.2500 [4 per cell]
La: 0.0000 0.0730 0.2500 [4 per cell]
La: 0.0000 0.0793 0.7500 [4 per cell]
Ti: 0.0000 0.3531 0.5046 [8 per cell]
Ti: 0.0000 0.5000 0.0000 [4 per cell]
O: 0.0000 0.0000 0.0000 [4 per cell]
O: 0.0000 0.1323 0.0068 [8 per cell]
O: 0.0000 0.2918 0.5466 [8 per cell]
O: 0.0000 0.3535 0.2500 [4 per cell]
O: 0.0000 0.3763 0.7500 [4 per cell]
O: 0.0000 0.4328 0.0464 [8 per cell]
O: 0.0000 0.4853 0.7500 [4 per cell]

Calculated values
* total energy: -0.6576 Ry per atom
* ΔE_f (raw): -3304 meV per atom


# BaLa4Ti4O15

Crystalline BaLa4Ti4O15 at its relaxed geometry (GGA-PBEsol, Alexandria).

Unit cell a=5.5622 b=5.5622 c=21.8464 alpha=90.00 beta=90.00 gamma=120.00
Space group P-3c1 (No. 165)
One atom of each set of equivalent atoms:
Ba: 0.0000 0.0000 0.2500 [2 per cell]
La: 0.3333 0.6667 0.0400 [4 per cell]
La: 0.3333 0.6667 0.3588 [4 per cell]
Ti: 0.0000 0.0000 0.0883 [4 per cell]
Ti: 0.3333 0.6667 0.1976 [4 per cell]
O: 0.0000 0.4769 0.2500 [6 per cell]
O: 0.1045 0.3420 0.4482 [12 per cell]
O: 0.1130 0.3414 0.6465 [12 per cell]

Calculated values
* total energy: -0.6598 Ry per atom
* ΔE_f (raw): -3329 meV per atom


# Ba3LaV3O12

Crystalline Ba3LaV3O12 at its relaxed geometry (GGA-PBEsol, Alexandria).

Unit cell a=21.8969 b=5.6222 c=9.4710 alpha=90.00 beta=93.53 gamma=90.00
Space group Cm (No. 8)
One atom of each set of equivalent atoms:
Ba: 0.0000 0.0000 0.0000 [2 per cell]
Ba: 0.0163 0.5000 0.3414 [2 per cell]
Ba: 0.1535 0.5000 0.6969 [2 per cell]
Ba: 0.3235 0.0000 0.3396 [2 per cell]
Ba: 0.3544 0.5000 0.6784 [2 per cell]
Ba: 0.4591 0.0000 0.6936 [2 per cell]
La: 0.1399 0.0000 0.3307 [2 per cell]
La: 0.2778 0.5000 0.0220 [2 per cell]
V: 0.0526 0.0000 0.6576 [2 per cell]
V: 0.1010 0.5000 0.0484 [2 per cell]
V: 0.2184 0.5000 0.3460 [2 per cell]
V: 0.2595 0.0000 0.7000 [2 per cell]
V: 0.3809 0.0000 0.0054 [2 per cell]
V: 0.4190 0.5000 0.3474 [2 per cell]
O: 0.0464 0.5000 0.9123 [2 per cell]
O: 0.0628 0.2486 0.5572 [4 per cell]
O: 0.0886 0.2569 0.1544 [4 per cell]
O: 0.1023 0.0000 0.7997 [2 per cell]
O: 0.1473 0.5000 0.4073 [2 per cell]
O: 0.1720 0.5000 0.9838 [2 per cell]
O: 0.2037 0.0000 0.5597 [2 per cell]
O: 0.2234 0.2486 0.2431 [4 per cell]
O: 0.2568 0.2557 0.7995 [4 per cell]
O: 0.2723 0.5000 0.4795 [2 per cell]
O: 0.3070 0.0000 0.0545 [2 per cell]
O: 0.3301 0.0000 0.6330 [2 per cell]
O: 0.3561 0.5000 0.2227 [2 per cell]
O: 0.3959 0.2470 0.9063 [4 per cell]
O: 0.4161 0.2581 0.4561 [4 per cell]
O: 0.4266 0.0000 0.1564 [2 per cell]
O: 0.4798 0.5000 0.7198 [2 per cell]
O: 0.4892 0.5000 0.2789 [2 per cell]

Calculated values
* total energy: -0.6128 Ry per atom
* ΔE_f (raw): -2880 meV per atom


# BaLa3Os

Crystalline BaLa3Os at its relaxed geometry (GGA-PBEsol, Alexandria).

Unit cell a=6.2252 b=8.2796 c=6.9407 alpha=90.00 beta=90.00 gamma=90.00
Space group Pmma (No. 51)
One atom of each set of equivalent atoms:
Ba: 0.2500 0.0000 0.1797 [2 per cell]
La: 0.2500 0.2536 0.6690 [4 per cell]
La: 0.2500 0.5000 0.1598 [2 per cell]
Os: 0.0000 0.5000 0.5000 [2 per cell]

Calculated values
* total energy: -0.4502 Ry per atom
* calculated formation energy: -44.8 meV/atom
* polymorph energy (0 for the lowest one): 0 meV/atom


# BaLa3Os

Crystalline BaLa3Os at its relaxed geometry (GGA-PBEsol, Alexandria).

Unit cell a=5.7022 b=5.7022 c=5.7022 alpha=90.00 beta=90.00 gamma=90.00
Space group Pm-3m (No. 221)
One atom of each set of equivalent atoms:
Ba: 0.0000 0.0000 0.0000 [1 per cell]
La: 0.0000 0.5000 0.5000 [3 per cell]
Os: 0.5000 0.5000 0.5000 [1 per cell]

Calculated values
* total energy: -0.4462 Ry per atom
* calculated formation energy: 10.3 meV/atom
* polymorph energy (0 for the lowest one): 55 meV/atom


# BaLa2P

Crystalline BaLa2P at its relaxed geometry (GGA-PBEsol, Alexandria).

Unit cell a=4.8729 b=4.8729 c=4.6749 alpha=90.00 beta=90.00 gamma=90.00
Space group P4/mmm (No. 123)
One atom of each set of equivalent atoms:
Ba: 0.0000 0.0000 0.0000 [1 per cell]
La: 0.0000 0.5000 0.5000 [2 per cell]
P: 0.5000 0.5000 0.0000 [1 per cell]

Calculated values
* total energy: -0.3684 Ry per atom
* calculated formation energy: -354.1 meV/atom


# BaLa2P

Crystalline BaLa2P at its relaxed geometry (GGA-PBEsol, Alexandria).

Unit cell a=4.0830 b=4.0830 c=31.2250 alpha=90.00 beta=90.00 gamma=120.00
Space group R-3m (No. 166, hexagonal axes)
One atom of each set of equivalent atoms:
Ba: 0.0000 0.0000 0.0000 [3 per cell]
La: 0.0000 0.0000 0.2195 [6 per cell]
P: 0.0000 0.0000 0.5000 [3 per cell]

Calculated values
* total energy: -0.3920 Ry per atom
* calculated formation energy: -674.7 meV/atom


# BaLa2P

Crystalline BaLa2P at its relaxed geometry (GGA-PBEsol, Alexandria).

Unit cell a=3.7024 b=3.7024 c=9.7738 alpha=90.00 beta=90.00 gamma=90.00
Space group P4/mmm (No. 123)
One atom of each set of equivalent atoms:
Ba: 0.0000 0.0000 0.0000 [1 per cell]
La: 0.5000 0.5000 0.3407 [2 per cell]
P: 0.0000 0.0000 0.5000 [1 per cell]

Calculated values
* total energy: -0.3826 Ry per atom
* calculated formation energy: -547.4 meV/atom


# BaLaP3

Crystalline BaLaP3 at its relaxed geometry (GGA-PBEsol, Alexandria).

Unit cell a=5.3606 b=5.3606 c=5.3606 alpha=90.00 beta=90.00 gamma=90.00
Space group Pm-3m (No. 221)
One atom of each set of equivalent atoms:
Ba: 0.0000 0.0000 0.0000 [1 per cell]
La: 0.5000 0.5000 0.5000 [1 per cell]
P: 0.0000 0.5000 0.5000 [3 per cell]

Calculated values
* total energy: -0.3784 Ry per atom
* calculated formation energy: -174.4 meV/atom


# Ba2LaSbP

Crystalline Ba2LaSbP at its relaxed geometry (GGA-PBEsol, Alexandria).

Unit cell a=6.2997 b=6.2997 c=5.9428 alpha=90.00 beta=90.00 gamma=90.00
Space group P4/mmm (No. 123)
One atom of each set of equivalent atoms:
Ba: 0.0000 0.5000 0.0000 [2 per cell]
La: 0.0000 0.0000 0.5000 [1 per cell]
Sb: 0.0000 0.0000 0.0000 [1 per cell]
P: 0.5000 0.5000 0.5000 [1 per cell]

Calculated values
* total energy: -0.2971 Ry per atom
* ΔE_f (raw): -44 meV per atom